PBE Li2ZnF6, relaxed; size of the total moment = 2.0 μB per formula unit; crystal system = orthorhombic; calculated density = 3.1 Mg/m³; energy relative to the elements, uncorrected = -18.04 eV per formula unit; uncorrected energy = -3.82 eV/atom
1.0
5.211 0.000 0.214
0.000 4.655 0.000
-0.352 0.000 8.530
Li Zn F
4 2 12
Direct
0.000 0.500 0.813
0.500 0.000 0.687
0.500 0.000 0.313
0.000 0.500 0.187
0.500 0.500 0.000
0.000 0.000 0.500
0.835 0.777 0.336
0.835 0.776 0.664
0.813 0.713 0.000
0.687 0.213 0.500
0.665 0.276 0.836
0.665 0.277 0.164
0.165 0.223 0.664
0.165 0.224 0.336
0.187 0.287 0.000
0.313 0.787 0.500
0.335 0.724 0.164
0.335 0.723 0.836